No. 1
Tl4CdIn5: optimized geometry, PBE. Values from VASP.

Computed properties:
size of the total moment	0.0	μB/cell
formation energy from the elements	0.2	eV per formula unit
calculated total energy	-2.383	eV per atom

Structure (Quantum ESPRESSO input):
```
&SYSTEM
  ibrav = 0, nat = 10, ntyp = 3
/
ATOMIC_SPECIES
Tl 204.38 Tl.upf
Cd 112.41 Cd.upf
In 114.82 In.upf
ATOMIC_POSITIONS crystal
Tl 0.0000 0.0000 0.1030
Tl 0.0000 0.0000 0.3081
Tl 0.0000 0.0000 0.6919
Tl 0.0000 0.0000 0.8970
Cd 0.0000 0.0000 0.5000
In 0.5000 0.5000 0.0000
In 0.5000 0.5000 0.2061
In 0.5000 0.5000 0.4103
In 0.5000 0.5000 0.5897
In 0.5000 0.5000 0.7939
CELL_PARAMETERS angstrom
3.5100 0.0000 0.0000
0.0000 3.5100 0.0000
0.0000 0.0000 22.9003
```

=====

No. 2
TlCd12In4: optimized geometry, PBE. Values from VASP.

Computed properties:
size of the total moment	0.0	μB/cell
formation energy from the elements	1.0	eV per formula unit
calculated total energy	-1.370	eV per atom

Structure (Quantum ESPRESSO input):
```
&SYSTEM
  ibrav = 0, nat = 17, ntyp = 3
/
ATOMIC_SPECIES
Tl 204.38 Tl.upf
Cd 112.41 Cd.upf
In 114.82 In.upf
ATOMIC_POSITIONS crystal
Tl 0.0000 0.0000 0.0000
Cd 0.0388 0.0531 0.6354
Cd 0.2113 0.2327 0.2622
Cd 0.2898 0.2586 0.7325
Cd 0.3181 0.6618 0.5720
Cd 0.3272 0.6494 0.2324
Cd 0.3807 0.6895 0.8802
Cd 0.6193 0.3105 0.1198
Cd 0.6728 0.3506 0.7676
Cd 0.6819 0.3382 0.4280
Cd 0.7102 0.7414 0.2675
Cd 0.7887 0.7673 0.7378
Cd 0.9612 0.9469 0.3646
In 0.0000 0.5000 0.0000
In 0.0000 0.5000 0.5000
In 0.5000 0.0000 0.0000
In 0.5000 0.0000 0.5000
CELL_PARAMETERS angstrom
7.2074 0.0000 0.0000
2.4444 7.1987 0.0000
2.4746 2.2492 8.3415
```

=====

No. 3
Tl3CdIn7: optimized geometry, PBE. Values from VASP.

Computed properties:
size of the total moment	0.0	μB/cell
formation energy from the elements	0.4	eV per formula unit
calculated total energy	-2.432	eV per atom

Structure (Quantum ESPRESSO input):
```
&SYSTEM
  ibrav = 0, nat = 11, ntyp = 3
/
ATOMIC_SPECIES
Tl 204.38 Tl.upf
Cd 112.41 Cd.upf
In 114.82 In.upf
ATOMIC_POSITIONS crystal
Tl 0.0000 0.0000 0.0000
Tl 0.2207 0.4285 0.4485
Tl 0.6180 0.3571 0.2150
Cd 0.8181 0.6742 0.6184
In 0.0007 0.8942 0.3850
In 0.0439 0.2791 0.7310
In 0.0897 0.5357 0.1035
In 0.3966 0.9004 0.7556
In 0.5276 0.8167 0.0924
In 0.5429 0.0231 0.4636
In 0.5922 0.4230 0.8234
CELL_PARAMETERS angstrom
5.9098 0.0000 0.0000
-0.4664 6.3674 0.0000
-2.6832 -2.5838 8.3330
```

=====

No. 4
Tl6CdIn2: optimized geometry, PBE. Values from VASP.

Computed properties:
size of the total moment	0.0	μB/cell
formation energy from the elements	0.1	eV per formula unit
calculated total energy	-2.271	eV per atom

Structure (Quantum ESPRESSO input):
```
&SYSTEM
  ibrav = 0, nat = 9, ntyp = 3
/
ATOMIC_SPECIES
Tl 204.38 Tl.upf
Cd 112.41 Cd.upf
In 114.82 In.upf
ATOMIC_POSITIONS crystal
Tl 0.0000 0.0000 0.0636
Tl 0.0000 0.0000 0.2808
Tl 0.0000 0.0000 0.7192
Tl 0.0000 0.0000 0.9364
Tl 0.3333 0.6667 0.3960
Tl 0.3333 0.6667 0.6040
Cd 0.0000 0.0000 0.5000
In 0.3333 0.6667 0.1717
In 0.3333 0.6667 0.8283
CELL_PARAMETERS angstrom
3.4728 0.0000 0.0000
-1.7364 3.0075 0.0000
0.0000 0.0000 25.3187
```

=====

No. 5
TlCdIn4: optimized geometry, PBE. Values from VASP.

Computed properties:
size of the total moment	0.0	μB/cell
formation energy from the elements	0.2	eV per formula unit
calculated total energy	-2.341	eV per atom

Structure (Quantum ESPRESSO input):
```
&SYSTEM
  ibrav = 0, nat = 6, ntyp = 3
/
ATOMIC_SPECIES
Tl 204.38 Tl.upf
Cd 112.41 Cd.upf
In 114.82 In.upf
ATOMIC_POSITIONS crystal
Tl 0.0000 0.0000 0.0000
Cd 0.0000 0.0000 0.5000
In 0.3311 0.3311 0.6601
In 0.3360 0.3360 0.1759
In 0.6640 0.6640 0.8241
In 0.6689 0.6689 0.3399
CELL_PARAMETERS angstrom
5.2915 -2.3038 0.0000
5.2915 2.3038 0.0000
-2.0070 0.0000 6.6648
```

=====

No. 6
TlCdIn2: optimized geometry, PBE. Values from VASP.

Computed properties:
size of the total moment	0.0	μB/cell
formation energy from the elements	0.2	eV per formula unit
calculated total energy	-2.152	eV per atom

Structure (Quantum ESPRESSO input):
```
&SYSTEM
  ibrav = 0, nat = 4, ntyp = 3
/
ATOMIC_SPECIES
Tl 204.38 Tl.upf
Cd 112.41 Cd.upf
In 114.82 In.upf
ATOMIC_POSITIONS crystal
Tl 0.0000 0.0000 0.0000
Cd 0.5000 0.5000 0.5000
In 0.2420 0.2420 0.7398
In 0.7580 0.7580 0.2602
CELL_PARAMETERS angstrom
5.6050 -1.6139 0.0000
5.6050 1.6139 0.0000
-1.3368 0.0000 6.0281
```

=====

No. 7
Tl4Cd2In: optimized geometry, PBE. Values from VASP.

Computed properties:
size of the total moment	0.0	μB/cell
formation energy from the elements	0.2	eV per formula unit
calculated total energy	-1.975	eV per atom

Structure (Quantum ESPRESSO input):
```
&SYSTEM
  ibrav = 0, nat = 7, ntyp = 3
/
ATOMIC_SPECIES
Tl 204.38 Tl.upf
Cd 112.41 Cd.upf
In 114.82 In.upf
ATOMIC_POSITIONS crystal
Tl 0.1001 0.1001 0.1001
Tl 0.3818 0.3818 0.3818
Tl 0.6182 0.6182 0.6182
Tl 0.8999 0.8999 0.8999
Cd 0.1872 0.1872 0.1872
Cd 0.8128 0.8128 0.8128
In 0.0000 0.0000 0.0000
CELL_PARAMETERS angstrom
1.7229 0.9947 19.1604
-1.7229 0.9947 19.1604
0.0000 -1.9894 19.1604
```

=====

No. 8
TlCdIn2: optimized geometry, PBE. Values from VASP.

Computed properties:
size of the total moment	0.0	μB/cell
formation energy from the elements	0.1	eV per formula unit
calculated total energy	-2.159	eV per atom

Structure (Quantum ESPRESSO input):
```
&SYSTEM
  ibrav = 0, nat = 4, ntyp = 3
/
ATOMIC_SPECIES
Tl 204.38 Tl.upf
Cd 112.41 Cd.upf
In 114.82 In.upf
ATOMIC_POSITIONS crystal
Tl 0.0000 0.0000 0.0000
Cd 0.8332 0.8332 0.8332
In 0.2453 0.2453 0.2453
In 0.4217 0.4217 0.4217
CELL_PARAMETERS angstrom
1.6992 0.9810 10.8363
-1.6992 0.9810 10.8363
0.0000 -1.9620 10.8363
```

=====

No. 9
Tl2Cd3In9: optimized geometry, PBE. Values from VASP.

Computed properties:
size of the total moment	0.0	μB/cell
formation energy from the elements	0.5	eV per formula unit
calculated total energy	-2.262	eV per atom

Structure (Quantum ESPRESSO input):
```
&SYSTEM
  ibrav = 0, nat = 28, ntyp = 3
/
ATOMIC_SPECIES
Tl 204.38 Tl.upf
Cd 112.41 Cd.upf
In 114.82 In.upf
ATOMIC_POSITIONS crystal
Tl 0.0203 0.2588 0.2484
Tl 0.2588 0.0203 0.7484
Tl 0.7412 0.9797 0.2516
Tl 0.9797 0.7412 0.7516
Cd 0.0000 0.5000 0.0000
Cd 0.1823 0.6794 0.5444
Cd 0.3206 0.8177 0.9556
Cd 0.5000 0.0000 0.5000
Cd 0.6794 0.1823 0.0444
Cd 0.8177 0.3206 0.4556
In 0.0405 0.8530 0.0815
In 0.1165 0.5989 0.2653
In 0.1470 0.9595 0.4185
In 0.1873 0.3377 0.5934
In 0.3179 0.4378 0.9168
In 0.3377 0.1873 0.0934
In 0.4011 0.8835 0.2347
In 0.4378 0.3179 0.4168
In 0.4817 0.5183 0.7500
In 0.5183 0.4817 0.2500
In 0.5622 0.6821 0.5832
In 0.5989 0.1165 0.7653
In 0.6623 0.8127 0.9066
In 0.6821 0.5622 0.0832
In 0.8127 0.6623 0.4066
In 0.8530 0.0405 0.5815
In 0.8835 0.4011 0.7347
In 0.9595 0.1470 0.9185
CELL_PARAMETERS angstrom
7.3776 -4.5387 0.0000
7.3776 4.5387 0.0000
-4.7614 0.0000 11.4511
```

=====

No. 10
TlCd7In12: optimized geometry, PBE. Values from VASP.

Computed properties:
size of the total moment	0.0	μB/cell
formation energy from the elements	3.2	eV per formula unit
calculated total energy	-1.920	eV per atom

Structure (Quantum ESPRESSO input):
```
&SYSTEM
  ibrav = 0, nat = 20, ntyp = 3
/
ATOMIC_SPECIES
Tl 204.38 Tl.upf
Cd 112.41 Cd.upf
In 114.82 In.upf
ATOMIC_POSITIONS crystal
Tl 0.0000 0.0000 0.0000
Cd 0.0000 0.0000 0.5000
Cd 0.0000 0.5000 0.0000
Cd 0.0000 0.5000 0.5000
Cd 0.5000 0.0000 0.0000
Cd 0.5000 0.0000 0.5000
Cd 0.5000 0.5000 0.0000
Cd 0.5000 0.5000 0.5000
In 0.1177 0.2670 0.8507
In 0.1493 0.4163 0.2670
In 0.1493 0.8823 0.7330
In 0.2670 0.1493 0.4163
In 0.2670 0.8507 0.1177
In 0.4163 0.2670 0.1493
In 0.5837 0.7330 0.8507
In 0.7330 0.1493 0.8823
In 0.7330 0.8507 0.5837
In 0.8507 0.1177 0.2670
In 0.8507 0.5837 0.7330
In 0.8823 0.7330 0.1493
CELL_PARAMETERS angstrom
-5.4300 5.4300 5.4300
5.4300 -5.4300 5.4300
5.4300 5.4300 -5.4300
```

=====

No. 11
Tl2Cd5In3: optimized geometry, PBE. Values from VASP.

Computed properties:
size of the total moment	0.0	μB/cell
formation energy from the elements	0.4	eV per formula unit
calculated total energy	-1.711	eV per atom

Structure (Quantum ESPRESSO input):
```
&SYSTEM
  ibrav = 0, nat = 20, ntyp = 3
/
ATOMIC_SPECIES
Tl 204.38 Tl.upf
Cd 112.41 Cd.upf
In 114.82 In.upf
ATOMIC_POSITIONS crystal
Tl 0.1092 0.6643 0.9157
Tl 0.3357 0.8908 0.5843
Tl 0.6643 0.1092 0.4157
Tl 0.8908 0.3357 0.0843
Cd 0.0160 0.3024 0.5843
Cd 0.2313 0.3122 0.9761
Cd 0.3024 0.0160 0.0843
Cd 0.3122 0.2313 0.4761
Cd 0.4554 0.5446 0.7500
Cd 0.5446 0.4554 0.2500
Cd 0.6878 0.7687 0.5239
Cd 0.6976 0.9840 0.9157
Cd 0.7687 0.6878 0.0239
Cd 0.9840 0.6976 0.4157
In 0.0091 0.9909 0.7500
In 0.2326 0.5361 0.3670
In 0.4639 0.7674 0.1330
In 0.5361 0.2326 0.8670
In 0.7674 0.4639 0.6330
In 0.9909 0.0091 0.2500
CELL_PARAMETERS angstrom
5.9662 -7.1870 0.0000
5.9662 7.1870 0.0000
-0.9002 0.0000 6.2000
```

=====

No. 12
Tl3Cd8In3: optimized geometry, PBE. Values from VASP.

Computed properties:
size of the total moment	0.0	μB/cell
formation energy from the elements	0.5	eV per formula unit
calculated total energy	-1.581	eV per atom

Structure (Quantum ESPRESSO input):
```
&SYSTEM
  ibrav = 0, nat = 14, ntyp = 3
/
ATOMIC_SPECIES
Tl 204.38 Tl.upf
Cd 112.41 Cd.upf
In 114.82 In.upf
ATOMIC_POSITIONS crystal
Tl 0.0000 0.0000 0.0000
Tl 0.2831 0.2831 0.0000
Tl 0.7169 0.7169 0.0000
Cd 0.0119 0.6368 0.3751
Cd 0.1249 0.8449 0.2800
Cd 0.2616 0.6368 0.6249
Cd 0.4351 0.1551 0.2800
Cd 0.5649 0.8449 0.7200
Cd 0.7384 0.3632 0.3751
Cd 0.8751 0.1551 0.7200
Cd 0.9881 0.3632 0.6249
In 0.3300 0.5000 0.8300
In 0.5000 0.0000 0.5000
In 0.6700 0.5000 0.1700
CELL_PARAMETERS angstrom
-2.4009 5.7641 6.7684
2.4009 -5.7641 6.7684
2.4009 5.7641 -6.7684
```